# YTc3Ag

A relaxed structure of YTc3Ag (PBE, the Alexandria database). Values from VASP.

## Properties
Formation enthalpy at 0 K: 2.37 eV/atom

Quantum ESPRESSO input file:
```
&SYSTEM
  ibrav = 0, nat = 5, ntyp = 3
/
ATOMIC_SPECIES
Y 88.91 Y.upf
Tc 98.00 Tc.upf
Ag 107.87 Ag.upf
ATOMIC_POSITIONS crystal
Y 0.000 0.000 0.000
Tc 0.000 0.000 0.500
Tc 0.000 0.500 0.000
Tc 0.500 0.000 0.000
Ag 0.500 0.500 0.500
CELL_PARAMETERS angstrom
4.825 0.000 0.000
0.000 4.825 0.000
0.000 0.000 4.825
```